DFT (PBE) results for a relaxed Pt5W3 crystal.

SG: No. 40
energy of formation from the pure elements: 0.08 eV/atom
size of the total moment: 0.000 μB/atom

a b c (Å): 7.686 7.957 5.130
angles (deg): 90.00 90.00 58.85
Atoms (fractional coordinates):
Pt: 0.853 0.994 0.750
Pt: 0.853 0.153 0.250
Pt: 0.570 0.715 0.000
W: 0.921 0.448 0.250
W: 0.921 0.631 0.750
W: 0.622 0.380 0.750
W: 0.622 0.999 0.250
Pt: 0.244 0.059 0.250
W: 0.498 0.033 0.750
Pt: 0.016 0.745 0.250
W: 0.498 0.469 0.250
Pt: 0.244 0.697 0.750
Pt: 0.278 0.361 0.500
Pt: 0.278 0.361 0.000
Pt: 0.570 0.715 0.500
Pt: 0.016 0.240 0.750